BeZnHg2: relaxed, PBE-GGA.

Properties
- Symmetry: No. 99
- Polymorph energy (0 for the lowest one): 5.47 kJ/mol of atoms
- E_tot: -1.113 eV/atom
- ΔE_f: 27.7 kJ/mol of atoms
- Total moment: 0.00 μB per formula unit

Cell: 2.9836 2.9836 8.2245 Å, 90.00 90.00 90.00°
Atoms (fractional coordinates):
Be 0.0000 0.0000 0.0000
Zn 0.5000 0.5000 0.8520
Hg 0.0000 0.0000 0.5665
Hg 0.5000 0.5000 0.2231